Entry from Alexandria via LeMat-Bulk: MgMnGeO4 after structural relaxation (PBE with a Hubbard U).

Values from the calculation:
Uncorrected energy: -190.927 eV for the cell shown
Symmetry: Pnma, No. 62
Volume: 338 Å³/cell
Total moment: 20.000 μB per cell

Cell lengths 5.0114, 6.2478, 10.7938 Å; angles 90.00, 90.00, 90.00 degrees
Element x y z (fractional)
O  0.7419  0.7500  0.9423
O  0.7581  0.7500  0.4423
O  0.2185  0.7500  0.0860
O  0.7185  0.2500  0.4140
O  0.2670  0.4751  0.8420
O  0.2581  0.2500  0.0577
O  0.7330  0.5249  0.1580
O  0.2670  0.0249  0.8420
O  0.2330  0.4751  0.3420
O  0.7815  0.2500  0.9140
O  0.2419  0.2500  0.5577
O  0.7670  0.5249  0.6580
O  0.2815  0.7500  0.5860
O  0.7330  0.9751  0.1580
O  0.7670  0.9751  0.6580
O  0.2330  0.0249  0.3420
Ge  0.0684  0.2500  0.4105
Ge  0.4316  0.2500  0.9105
Ge  0.5684  0.7500  0.0895
Ge  0.9316  0.7500  0.5895
Mg  0.0000  0.0000  0.0000
Mg  0.5000  0.5000  0.5000
Mg  0.5000  0.0000  0.5000
Mg  0.0000  0.5000  0.0000
Mn  0.9928  0.2500  0.7228
Mn  0.4928  0.7500  0.7772
Mn  0.0072  0.7500  0.2772
Mn  0.5072  0.2500  0.2228